(1)
DFT (PBE) results for a relaxed structure of MnTlP2W.

Unit cell a=4.6393 b=4.6393 c=5.5769 alpha=90.00 beta=90.00 gamma=90.00
Space group P4/mmm (No. 123)
Symmetry-distinct sites (fractional):
Mn  0.0000  0.0000  0.0000 (multiplicity 1)
Tl  0.5000  0.5000  0.0000 (multiplicity 1)
P  0.0000  0.5000  0.5000 (multiplicity 2)
W  0.5000  0.5000  0.5000 (multiplicity 1)

Summary:
Total DFT energy (no corrections) in eV per atom: -6.285
M_tot in μB/f.u.: 4.77
ΔH_f (0 K) in meV per atom: 777

(2)
DFT (PBE) results for a relaxed structure of Ba2AgPb2.

Unit cell a=9.3895 b=9.3895 c=4.9563 alpha=90.00 beta=90.00 gamma=90.00
Space group P4/mbm (No. 127)
Symmetry-distinct sites (fractional):
Ba  0.1856  0.3144  0.0000 (multiplicity 4)
Ag  0.0000  0.0000  0.0000 (multiplicity 2)
Pb  0.1092  0.6092  0.5000 (multiplicity 4)

Summary:
Distance to the lowest polymorph of the same formula in eV/atom: 0.290
Total DFT energy (no corrections) in eV per atom: -2.989
M_tot in μB/f.u.: 0.00
ΔH_f (0 K) in meV per atom: -166

(3)
DFT (PBE) results for a relaxed structure of ZrGaOF2.

Unit cell a=4.4063 b=4.4063 c=4.1159 alpha=90.00 beta=90.00 gamma=90.00
Space group P4/mmm (No. 123)
Symmetry-distinct sites (fractional):
Zr  0.0000  0.0000  0.0000 (multiplicity 1)
Ga  0.5000  0.5000  0.5000 (multiplicity 1)
O  0.0000  0.0000  0.5000 (multiplicity 1)
F  0.0000  0.5000  0.0000 (multiplicity 2)

Summary:
Distance to the lowest polymorph of the same formula in eV/atom: 0.000
Total DFT energy (no corrections) in eV per atom: -6.391
M_tot in μB/f.u.: 0.77

(4)
DFT (PBE) results for a relaxed structure of BaPm2In.

Unit cell a=5.1795 b=5.1795 c=5.0802 alpha=90.00 beta=90.00 gamma=90.00
Space group P4/mmm (No. 123)
Symmetry-distinct sites (fractional):
Ba  0.0000  0.0000  0.0000 (multiplicity 1)
Pm  0.0000  0.5000  0.5000 (multiplicity 2)
In  0.5000  0.5000  0.0000 (multiplicity 1)

Summary:
Distance to the lowest polymorph of the same formula in eV/atom: 0.037
Total DFT energy (no corrections) in eV per atom: -3.622
M_tot in μB/f.u.: 0.00
ΔH_f (0 K) in meV per atom: -81

(5)
DFT (PBE) results for a relaxed structure of AlRuRh2.

Unit cell a=5.4992 b=7.3799 c=2.7644 alpha=90.00 beta=90.00 gamma=90.00
Space group Cmmm (No. 65)
Symmetry-distinct sites (fractional):
Al  0.0000  0.0000  0.0000 (multiplicity 2)
Ru  0.0000  0.5000  0.0000 (multiplicity 2)
Rh  0.2500  0.2500  0.5000 (multiplicity 4)

Summary:
Total DFT energy (no corrections) in eV per atom: -7.295
M_tot in μB/f.u.: 0.04
ΔH_f (0 K) in meV per atom: -365

(6)
DFT (PBE) results for a relaxed structure of YMnSb2.

Unit cell a=4.1000 b=4.4372 c=5.2618 alpha=90.00 beta=90.00 gamma=90.00
Space group Pmmm (No. 47)
Symmetry-distinct sites (fractional):
Y  0.0000  0.0000  0.0000 (multiplicity 1)
Mn  0.0000  0.5000  0.5000 (multiplicity 1)
Sb  0.5000  0.0000  0.5000 (multiplicity 1)
Sb  0.5000  0.5000  0.0000 (multiplicity 1)

Summary:
Total DFT energy (no corrections) in eV per atom: -6.271
M_tot in μB/f.u.: 3.89

(7)
DFT (PBE) results for a relaxed structure of Fe3ReAg.

Unit cell a=4.4841 b=4.4841 c=4.4841 alpha=90.00 beta=90.00 gamma=90.00
Space group Pm-3m (No. 221)
Symmetry-distinct sites (fractional):
Fe  0.0000  0.0000  0.5000 (multiplicity 3)
Re  0.0000  0.0000  0.0000 (multiplicity 1)
Ag  0.5000  0.5000  0.5000 (multiplicity 1)

Summary:
Distance to the lowest polymorph of the same formula in eV/atom: 0.000
Total DFT energy (no corrections) in eV per atom: -6.705
M_tot in μB/f.u.: 5.02
ΔH_f (0 K) in meV per atom: 1433

(8)
DFT (PBE) results for a relaxed structure of Y2SnTe.

Unit cell a=8.8065 b=17.5474 c=7.6008 alpha=90.00 beta=124.97 gamma=90.00
Space group C2/c (No. 15)
Symmetry-distinct sites (fractional):
Y  0.2351  0.0627  0.2415 (multiplicity 8)
Y  0.2458  0.1876  0.7417 (multiplicity 8)
Sn  0.0000  0.0653  0.7500 (multiplicity 4)
Sn  0.0000  0.1903  0.2500 (multiplicity 4)
Te  0.0000  0.3151  0.7500 (multiplicity 4)
Te  0.0000  0.4402  0.2500 (multiplicity 4)

Summary:
Distance to the lowest polymorph of the same formula in eV/atom: 0.008
Total DFT energy (no corrections) in eV per atom: -6.103
M_tot in μB/f.u.: 0.00

Among the records above, which one has the highest total DFT energy (no corrections)?
Ba2AgPb2

Look up the M_tot of the seventh one.
5.02 μB/f.u.

Look up the total DFT energy (no corrections) of the fourth one.
-3.622 eV per atom

What is the M_tot in the fifth record?
0.04 μB/f.u.